1.
{
  "formula": "MgZn9Cu2",
  "functional": "PBE",
  "state": "relaxed",
  "e_above_lowest_polymorph_ev_per_atom": 0.063,
  "dft_energy_ev_per_cell": -21.0,
  "n_ef_per_ev_cell": 0.9,
  "e_form_ev_per_atom": 0.022,
  "cell": [[8.979, 0.040, 0.024], [7.571, 4.829, 0.024], [7.571, 2.227, 4.285]],
  "species": ["Zn", "Zn", "Zn", "Zn", "Zn", "Zn", "Zn", "Zn", "Zn", "Mg", "Cu", "Cu"],
  "fractional_positions": [[0.083, 0.591, 0.591], [0.409, 0.409, 0.917], [0.667, 0.667, 0.667], [0.591, 0.083, 0.591], [0.500, 0.500, 0.500], [0.333, 0.333, 0.333], [0.917, 0.409, 0.409], [0.591, 0.591, 0.083], [0.409, 0.917, 0.409], [0.000, 0.000, 0.000], [0.144, 0.143, 0.143], [0.856, 0.857, 0.857]]
}

2.
{
  "formula": "Mg6ZnCu6",
  "functional": "PBE",
  "state": "relaxed",
  "e_above_lowest_polymorph_ev_per_atom": 0.000,
  "dft_energy_ev_per_cell": -36.4,
  "n_ef_per_ev_cell": 3.1,
  "e_form_ev_per_atom": -0.079,
  "cell": [[-0.878, -2.538, 4.415], [3.368, -1.883, -3.437], [6.728, 4.682, 4.029]],
  "species": ["Zn", "Cu", "Cu", "Cu", "Cu", "Cu", "Cu", "Mg", "Mg", "Mg", "Mg", "Mg", "Mg"],
  "fractional_positions": [[0.000, 0.000, 0.000], [0.000, 0.500, 0.247], [0.500, 0.000, 0.753], [0.500, 0.500, 0.753], [0.500, 0.000, 0.247], [0.500, 0.500, 0.247], [0.000, 0.500, 0.753], [0.333, 0.667, 0.000], [0.333, 0.667, 0.500], [0.000, 0.000, 0.328], [0.667, 0.333, 0.000], [0.667, 0.333, 0.500], [0.000, 0.000, 0.672]]
}

3.
{
  "formula": "MgZnCu",
  "functional": "PBE",
  "state": "relaxed",
  "dft_energy_ev_per_cell": -27.3,
  "n_ef_per_ev_cell": 2.2,
  "e_form_ev_per_atom": 0.046,
  "cell": [[-2.643, -0.892, 0.340], [0.269, -2.318, -3.993], [5.014, -12.064, 7.341]],
  "species": ["Cu", "Cu", "Cu", "Cu", "Mg", "Mg", "Mg", "Mg", "Zn", "Zn", "Zn", "Zn"],
  "fractional_positions": [[0.250, 0.750, 0.830], [0.250, 0.750, 0.670], [0.750, 0.250, 0.170], [0.750, 0.250, 0.330], [0.250, 0.750, 0.150], [0.750, 0.250, 0.850], [0.750, 0.250, 0.650], [0.250, 0.750, 0.350], [0.250, 0.250, 0.474], [0.750, 0.750, 0.974], [0.750, 0.750, 0.526], [0.250, 0.250, 0.026]]
}

4.
{
  "formula": "Mg2ZnCu4",
  "functional": "PBE",
  "state": "relaxed",
  "e_above_lowest_polymorph_ev_per_atom": 0.064,
  "dft_energy_ev_per_cell": -41.3,
  "n_ef_per_ev_cell": 4.4,
  "e_form_ev_per_atom": 0.030,
  "cell": [[7.106, 0.216, 0.000], [1.190, 7.009, 0.000], [-4.148, -3.612, 4.504]],
  "species": ["Zn", "Zn", "Cu", "Cu", "Cu", "Cu", "Cu", "Cu", "Cu", "Cu", "Mg", "Mg", "Mg", "Mg"],
  "fractional_positions": [[0.000, 0.500, 0.500], [0.500, 0.000, 0.500], [0.930, 0.219, 0.000], [0.430, 0.430, 0.711], [0.570, 0.281, 0.000], [0.719, 0.719, 0.289], [0.070, 0.070, 0.289], [0.781, 0.781, 0.711], [0.281, 0.570, 0.000], [0.219, 0.930, 0.000], [0.412, 0.412, 0.325], [0.588, 0.912, 0.000], [0.088, 0.088, 0.675], [0.912, 0.588, 0.000]]
}

5.
{
  "formula": "MgZnCu",
  "functional": "PBE",
  "state": "relaxed",
  "dft_energy_ev_per_cell": -14.6,
  "n_ef_per_ev_cell": 1.4,
  "e_form_ev_per_atom": -0.119,
  "cell": [[-2.586, 3.716, -2.208], [-1.493, -4.125, 2.476], [0.025, 2.628, 4.393]],
  "species": ["Zn", "Zn", "Mg", "Mg", "Cu", "Cu"],
  "fractional_positions": [[0.426, 0.574, 0.750], [0.574, 0.426, 0.250], [0.720, 0.280, 0.750], [0.280, 0.720, 0.250], [0.000, 0.000, 0.500], [0.000, 0.000, 0.000]]
}

6.
{
  "formula": "MgZn2Cu4",
  "functional": "PBE",
  "state": "relaxed",
  "e_above_lowest_polymorph_ev_per_atom": 0.000,
  "dft_energy_ev_per_cell": -21.0,
  "n_ef_per_ev_cell": 1.3,
  "e_form_ev_per_atom": -0.072,
  "cell": [[-4.887, -1.387, 0.484], [2.772, -1.204, -4.111], [2.331, -2.504, 3.786]],
  "species": ["Cu", "Cu", "Cu", "Cu", "Zn", "Zn", "Mg"],
  "fractional_positions": [[0.696, 0.696, 0.392], [0.304, 0.696, 0.000], [0.696, 0.304, 0.000], [0.304, 0.304, 0.608], [0.250, 0.750, 0.500], [0.750, 0.250, 0.500], [0.000, 0.000, 0.000]]
}

7.
{
  "formula": "Mg2ZnCu4",
  "functional": "PBE",
  "state": "relaxed",
  "e_above_lowest_polymorph_ev_per_atom": 0.000,
  "dft_energy_ev_per_cell": -21.1,
  "n_ef_per_ev_cell": 2.6,
  "e_form_ev_per_atom": -0.034,
  "cell": [[-2.524, 0.173, 6.142], [-1.998, -3.960, 4.944], [1.412, -1.640, 6.280]],
  "species": ["Cu", "Cu", "Cu", "Cu", "Mg", "Mg", "Zn"],
  "fractional_positions": [[0.566, 0.566, 0.566], [0.863, 0.863, 0.863], [0.434, 0.434, 0.434], [0.137, 0.137, 0.137], [0.278, 0.278, 0.278], [0.722, 0.722, 0.722], [0.000, 0.000, 0.000]]
}

8.
{
  "formula": "Mg6ZnCu",
  "functional": "PBE",
  "state": "relaxed",
  "e_above_lowest_polymorph_ev_per_atom": 0.000,
  "dft_energy_ev_per_cell": -15.2,
  "n_ef_per_ev_cell": 1.7,
  "e_form_ev_per_atom": -0.038,
  "cell": [[4.324, 0.000, 1.302], [-0.392, 4.306, 1.303], [-0.170, -0.187, 8.396]],
  "species": ["Mg", "Mg", "Mg", "Mg", "Mg", "Mg", "Cu", "Zn"],
  "fractional_positions": [[0.605, 0.105, 0.790], [0.895, 0.395, 0.210], [0.105, 0.605, 0.790], [0.395, 0.895, 0.210], [0.750, 0.750, 0.500], [0.250, 0.250, 0.500], [0.000, 0.000, 0.000], [0.500, 0.500, 0.000]]
}

9.
{
  "formula": "Mg2Zn3Cu2",
  "functional": "PBE",
  "state": "relaxed",
  "e_above_lowest_polymorph_ev_per_atom": 0.011,
  "dft_energy_ev_per_cell": -31.3,
  "n_ef_per_ev_cell": 2.8,
  "e_form_ev_per_atom": -0.066,
  "cell": [[-6.256, -5.481, 2.249], [-4.444, -7.348, -0.701], [-0.983, -9.338, 5.307]],
  "species": ["Cu", "Cu", "Cu", "Cu", "Mg", "Mg", "Mg", "Mg", "Zn", "Zn", "Zn", "Zn", "Zn", "Zn"],
  "fractional_positions": [[0.741, 0.741, 0.699], [0.482, 0.482, 0.137], [0.259, 0.259, 0.301], [0.518, 0.518, 0.863], [0.007, 0.007, 0.693], [0.993, 0.993, 0.307], [0.639, 0.639, 0.318], [0.361, 0.361, 0.682], [0.299, 0.299, 0.498], [0.701, 0.701, 0.502], [0.696, 0.696, 0.990], [0.112, 0.112, 0.907], [0.304, 0.304, 0.010], [0.888, 0.888, 0.093]]
}

10.
{
  "formula": "MgZnCu2",
  "functional": "PBE",
  "state": "relaxed",
  "dft_energy_ev_per_cell": -20.8,
  "n_ef_per_ev_cell": 2.5,
  "e_form_ev_per_atom": 0.166,
  "cell": [[-4.254, 1.144, -0.566], [1.389, -1.622, 3.895], [1.551, 6.918, 2.329]],
  "species": ["Cu", "Cu", "Cu", "Cu", "Mg", "Mg", "Zn", "Zn"],
  "fractional_positions": [[0.364, 0.636, 0.410], [0.636, 0.364, 0.590], [0.364, 0.636, 0.090], [0.636, 0.364, 0.910], [0.291, 0.709, 0.750], [0.709, 0.291, 0.250], [0.958, 0.042, 0.750], [0.042, 0.958, 0.250]]
}

11.
{
  "formula": "Mg2Zn2Cu",
  "functional": "PBE",
  "state": "relaxed",
  "e_above_lowest_polymorph_ev_per_atom": 0.035,
  "dft_energy_ev_per_cell": -20.5,
  "n_ef_per_ev_cell": 2.4,
  "e_form_ev_per_atom": -0.082,
  "cell": [[-7.149, 0.669, 0.053], [5.626, -2.118, -3.928], [-0.466, -5.144, 2.107]],
  "species": ["Cu", "Cu", "Zn", "Zn", "Zn", "Zn", "Mg", "Mg", "Mg", "Mg"],
  "fractional_positions": [[0.858, 0.142, 0.156], [0.142, 0.858, 0.656], [0.535, 0.465, 0.770], [0.288, 0.712, 0.383], [0.465, 0.535, 0.270], [0.712, 0.288, 0.883], [0.070, 0.930, 0.101], [0.328, 0.672, 0.886], [0.672, 0.328, 0.386], [0.930, 0.070, 0.601]]
}

12.
{
  "formula": "MgZn3Cu2",
  "functional": "PBE",
  "state": "relaxed",
  "e_above_lowest_polymorph_ev_per_atom": 0.010,
  "dft_energy_ev_per_cell": -27.9,
  "n_ef_per_ev_cell": 3.4,
  "e_form_ev_per_atom": -0.056,
  "cell": [[5.544, 0.000, 0.000], [2.772, 4.801, 0.000], [2.772, 1.600, 6.529]],
  "species": ["Zn", "Zn", "Zn", "Zn", "Zn", "Zn", "Mg", "Mg", "Cu", "Cu", "Cu", "Cu"],
  "fractional_positions": [[0.725, 0.234, 0.316], [0.275, 0.275, 0.684], [0.275, 0.766, 0.684], [0.725, 0.725, 0.316], [0.766, 0.275, 0.684], [0.234, 0.725, 0.316], [0.222, 0.222, 0.335], [0.778, 0.778, 0.665], [0.000, 0.000, 0.000], [0.500, 0.500, 0.000], [0.000, 0.500, 0.000], [0.500, 0.000, 0.000]]
}

Which formula does entry 1 have?
MgZn9Cu2